# Li8Mn3Fe5B8O24

A relaxed Li8Mn3Fe5B8O24 crystal (PBE with a Hubbard U, Alexandria via LeMat-Bulk).

Cell lengths 5.221, 5.233, 20.183 Å; angles 91.02, 90.84, 119.47 degrees
Positions (direct):
Li1 0.000 0.000 0.000
Li2 0.000 0.003 0.498
Li3 0.016 0.978 0.245
Li4 0.018 0.979 0.750
Li5 0.324 0.320 0.622
Li6 0.328 0.321 0.122
Li7 0.338 0.310 0.371
Li8 0.338 0.313 0.879
Mn1 0.349 0.662 0.262
Mn2 0.662 0.987 0.641
Mn3 0.682 0.333 0.515
Fe1 0.003 0.647 0.891
Fe2 0.355 0.655 0.766
Fe3 0.664 0.987 0.137
Fe4 0.681 0.332 0.014
Fe5 0.996 0.654 0.388
B1 0.007 0.653 0.140
B2 0.007 0.654 0.643
B3 0.336 0.659 0.517
B4 0.337 0.658 0.017
B5 0.668 0.990 0.391
B6 0.671 0.315 0.264
B7 0.672 0.991 0.895
B8 0.674 0.319 0.770
O1 0.022 0.923 0.145
O2 0.025 0.926 0.650
O3 0.093 0.680 0.995
O4 0.097 0.688 0.496
O5 0.251 0.622 0.659
O6 0.254 0.628 0.158
O7 0.312 0.385 0.523
O8 0.318 0.387 0.022
O9 0.395 0.285 0.272
O10 0.400 0.296 0.777
O11 0.421 0.732 0.368
O12 0.422 0.733 0.874
O13 0.601 0.913 0.035
O14 0.604 0.911 0.535
O15 0.644 0.237 0.409
O16 0.647 0.241 0.912
O17 0.694 0.075 0.747
O18 0.703 0.078 0.242
O19 0.746 0.409 0.620
O20 0.747 0.404 0.118
O21 0.921 0.583 0.281
O22 0.929 0.583 0.787
O23 0.939 0.006 0.397
O24 0.942 0.006 0.900

Properties
E above lowest polymorph (meV per atom): 204
DOS at the Fermi energy (states/eV/f.u.): 0.0

# Li4Mn3FeB4O12

A relaxed Li4Mn3FeB4O12 crystal (PBE with a Hubbard U, Alexandria via LeMat-Bulk).

Cell lengths 5.234, 5.247, 10.479 Å; angles 91.22, 90.77, 119.87 degrees
Positions (direct):
Li1 0.000 0.000 0.000
Li2 0.015 0.986 0.503
Li3 0.672 0.685 0.752
Li4 0.696 0.656 0.253
Mn1 0.023 0.331 0.288
Mn2 0.346 0.668 0.037
Mn3 0.350 0.016 0.784
Fe1 0.676 0.336 0.536
B1 0.009 0.341 0.792
B2 0.345 0.666 0.544
B3 0.350 0.994 0.296
B4 0.684 0.333 0.043
O1 0.073 0.962 0.311
O2 0.097 0.403 0.504
O3 0.281 0.592 0.824
O4 0.323 0.916 0.574
O5 0.381 0.757 0.252
O6 0.419 0.091 0.999
O7 0.600 0.266 0.326
O8 0.618 0.685 0.557
O9 0.709 0.608 0.059
O10 0.773 0.372 0.751
O11 0.926 0.299 0.075
O12 0.979 0.065 0.807

Properties
E above lowest polymorph (meV per atom): 0
DOS at the Fermi energy (states/eV/f.u.): 0.0

# Li8Mn7FeB8O24

A relaxed Li8Mn7FeB8O24 crystal (PBE with a Hubbard U, Alexandria via LeMat-Bulk).

Cell lengths 7.903, 8.019, 8.264 Å; angles 80.94, 79.85, 82.45 degrees
Positions (direct):
Li1 0.000 0.000 0.000
Li2 0.000 0.499 0.501
Li3 0.111 0.800 0.445
Li4 0.113 0.300 0.943
Li5 0.500 0.496 0.996
Li6 0.503 0.002 0.504
Li7 0.611 0.300 0.445
Li8 0.611 0.800 0.941
Mn1 0.129 0.646 0.143
Mn2 0.132 0.147 0.644
Mn3 0.484 0.653 0.299
Mn4 0.627 0.145 0.140
Mn5 0.629 0.646 0.641
Mn6 0.982 0.154 0.302
Mn7 0.983 0.654 0.802
Fe1 0.484 0.149 0.803
B1 0.303 0.319 0.317
B2 0.305 0.823 0.820
B3 0.307 0.980 0.125
B4 0.311 0.478 0.626
B5 0.800 0.317 0.814
B6 0.802 0.821 0.317
B7 0.809 0.479 0.125
B8 0.809 0.981 0.629
O1 0.138 0.305 0.408
O2 0.138 0.806 0.908
O3 0.174 0.105 0.099
O4 0.175 0.602 0.600
O5 0.279 0.834 0.239
O6 0.286 0.331 0.739
O7 0.333 0.464 0.202
O8 0.338 0.972 0.712
O9 0.437 0.194 0.345
O10 0.437 0.695 0.844
O11 0.472 0.996 0.031
O12 0.475 0.497 0.533
O13 0.632 0.297 0.901
O14 0.636 0.806 0.408
O15 0.675 0.106 0.603
O16 0.676 0.604 0.095
O17 0.778 0.334 0.238
O18 0.780 0.834 0.740
O19 0.830 0.464 0.704
O20 0.832 0.965 0.203
O21 0.935 0.195 0.845
O22 0.936 0.695 0.346
O23 0.975 0.996 0.537
O24 0.976 0.495 0.036

Properties
E above lowest polymorph (meV per atom): 42
DOS at the Fermi energy (states/eV/f.u.): 0.0

# Li8Mn7FeB8O24

A relaxed Li8Mn7FeB8O24 crystal (PBE with a Hubbard U, Alexandria via LeMat-Bulk).

Cell lengths 5.251, 8.219, 11.841 Å; angles 101.97, 91.00, 90.51 degrees
Positions (direct):
Li1 0.000 0.000 0.000
Li2 0.000 0.011 0.496
Li3 0.184 0.960 0.284
Li4 0.188 0.951 0.789
Li5 0.497 0.510 0.243
Li6 0.498 0.507 0.746
Li7 0.685 0.453 0.039
Li8 0.687 0.452 0.540
Mn1 0.013 0.654 0.352
Mn2 0.168 0.308 0.931
Mn3 0.172 0.314 0.430
Mn4 0.522 0.151 0.607
Mn5 0.524 0.151 0.106
Mn6 0.658 0.813 0.178
Mn7 0.667 0.811 0.675
Fe1 0.007 0.646 0.856
B1 0.017 0.325 0.185
B2 0.018 0.327 0.686
B3 0.165 0.638 0.097
B4 0.166 0.638 0.600
B5 0.512 0.831 0.429
B6 0.514 0.819 0.936
B7 0.670 0.133 0.852
B8 0.671 0.139 0.352
O1 0.014 0.547 0.509
O2 0.015 0.542 0.009
O3 0.051 0.755 0.183
O4 0.053 0.752 0.687
O5 0.131 0.208 0.100
O6 0.138 0.214 0.600
O7 0.166 0.421 0.777
O8 0.168 0.420 0.274
O9 0.253 0.855 0.426
O10 0.256 0.844 0.928
O11 0.424 0.608 0.102
O12 0.425 0.608 0.604
O13 0.521 0.048 0.758
O14 0.522 0.052 0.258
O15 0.552 0.240 0.943
O16 0.553 0.246 0.443
O17 0.629 0.722 0.338
O18 0.638 0.711 0.848
O19 0.659 0.911 0.028
O20 0.662 0.918 0.521
O21 0.759 0.353 0.682
O22 0.759 0.356 0.181
O23 0.928 0.105 0.857
O24 0.929 0.113 0.356

Properties
E above lowest polymorph (meV per atom): 140
DOS at the Fermi energy (states/eV/f.u.): 0.0

# Li3Mn2FeB3O9

A relaxed Li3Mn2FeB3O9 crystal (PBE with a Hubbard U, Alexandria via LeMat-Bulk).

Cell lengths 6.333, 8.196, 8.794 Å; angles 62.23, 69.03, 89.65 degrees
Positions (direct):
Li1 0.000 0.000 0.000
Li2 0.121 0.577 0.742
Li3 0.286 0.317 0.427
Li4 0.501 0.000 0.000
Li5 0.623 0.578 0.742
Li6 0.785 0.316 0.428
Mn1 0.200 0.285 0.097
Mn2 0.397 0.929 0.710
Mn3 0.699 0.285 0.098
Mn4 0.899 0.930 0.709
Fe1 0.061 0.676 0.358
Fe2 0.561 0.676 0.359
B1 0.296 0.961 0.394
B2 0.387 0.300 0.721
B3 0.473 0.633 0.058
B4 0.796 0.961 0.394
B5 0.887 0.299 0.720
B6 0.973 0.632 0.059
O1 0.070 0.740 0.864
O2 0.234 0.767 0.475
O3 0.249 0.043 0.508
O4 0.332 0.106 0.833
O5 0.342 0.413 0.805
O6 0.403 0.073 0.200
O7 0.424 0.439 0.144
O8 0.424 0.720 0.166
O9 0.487 0.384 0.527
O10 0.570 0.742 0.864
O11 0.736 0.766 0.475
O12 0.747 0.041 0.509
O13 0.833 0.103 0.831
O14 0.841 0.409 0.806
O15 0.902 0.073 0.200
O16 0.924 0.438 0.145
O17 0.924 0.720 0.166
O18 0.987 0.384 0.526

Properties
E above lowest polymorph (meV per atom): 129
DOS at the Fermi energy (states/eV/f.u.): 0.0

# Li8Mn7FeB8O24

A relaxed Li8Mn7FeB8O24 crystal (PBE with a Hubbard U, Alexandria via LeMat-Bulk).

Cell lengths 5.989, 8.274, 10.486 Å; angles 90.73, 90.91, 102.86 degrees
Positions (direct):
Li1 0.000 0.000 0.000
Li2 0.002 0.002 0.500
Li3 0.088 0.443 0.844
Li4 0.090 0.447 0.344
Li5 0.497 0.502 0.749
Li6 0.501 0.502 0.249
Li7 0.585 0.942 0.093
Li8 0.588 0.946 0.595
Mn1 0.216 0.140 0.761
Mn2 0.226 0.145 0.259
Mn3 0.363 0.803 0.336
Mn4 0.722 0.643 0.007
Mn5 0.726 0.645 0.510
Mn6 0.861 0.302 0.086
Mn7 0.866 0.303 0.584
Fe1 0.363 0.809 0.834
B1 0.209 0.627 0.082
B2 0.212 0.630 0.587
B3 0.375 0.318 0.008
B4 0.379 0.319 0.510
B5 0.709 0.124 0.835
B6 0.711 0.128 0.335
B7 0.876 0.818 0.258
B8 0.878 0.818 0.759
O1 0.026 0.534 0.009
O2 0.032 0.538 0.511
O3 0.058 0.910 0.333
O4 0.059 0.908 0.835
O5 0.200 0.205 0.066
O6 0.205 0.206 0.568
O7 0.219 0.603 0.717
O8 0.222 0.602 0.212
O9 0.368 0.345 0.879
O10 0.369 0.348 0.380
O11 0.383 0.738 0.021
O12 0.387 0.743 0.529
O13 0.520 0.037 0.762
O14 0.531 0.037 0.260
O15 0.557 0.409 0.084
O16 0.562 0.411 0.584
O17 0.700 0.706 0.815
O18 0.702 0.705 0.317
O19 0.717 0.099 0.964
O20 0.719 0.099 0.465
O21 0.866 0.845 0.129
O22 0.870 0.849 0.630
O23 0.887 0.242 0.279
O24 0.890 0.230 0.775

Properties
E above lowest polymorph (meV per atom): 41
DOS at the Fermi energy (states/eV/f.u.): 0.0